# Tb8Tc2Ag GGA-PBE optimized geometry
data_Tb8Tc2Ag
_chemical_formula_sum 'Tb16 Tc4 Ag2'
_cell_length_a 8.714
_cell_length_b 12.863
_cell_length_c 5.659
_cell_angle_alpha 90.00
_cell_angle_beta 105.83
_cell_angle_gamma 90.00
_symmetry_space_group_name_H-M 'C 1 m 1'
_symmetry_Int_Tables_number 8
loop_
_symmetry_equiv_pos_as_xyz
'x,y,z'
'x,-y,z'
'x+1/2,y+1/2,z'
'x+1/2,-y+1/2,z'
loop_
_atom_site_label
_atom_site_fract_x
_atom_site_fract_y
_atom_site_fract_z
Tb1 0.000 0.000 0.000
Tb2 0.079 0.368 0.788
Tb3 0.180 0.132 0.609
Tb4 0.260 0.500 0.397
Tb5 0.380 0.237 0.198
Tc1 0.380 0.313 0.699
Ag1 0.380 0.000 0.202
# * D(E_F): 23.43 states/eV/cell
# * energy of formation from the pure elements: -32 meV per atom
# * total magnetic moment: 0.0000 μB/atom
# * VASP energy: -5.543 eV/atom
# * mass density: 8.57 g/cm³